The following is a DFT calculation (PBE) of an optimized crystal structure of BaZr2Tl.

Cell lengths 5.4239, 5.4239, 5.4239 Å; angles 60.00, 60.00, 60.00 degrees
Fractional positions:
Ba: 0.0000 0.0000 0.0000
Zr: 0.5000 0.5000 0.5000
Zr: 0.7500 0.7500 0.7500
Tl: 0.2500 0.2500 0.2500

Summary:
* E_form: 0.430 eV/atom
* calculated total energy: -19.7 eV for the cell shown
* density: 7.7 Mg/m³
* E above lowest polymorph: 0.318 eV/atom